(1)
Compound: LiZnPt2
Source: the Alexandria database
Functional: meta-GGA SCAN
Structure: single point on PBEsol structure

Computed properties:
DOS at the Fermi energy	1.362	states/eV per cell
energy of formation	-569	meV per atom
space-group type	C2/m

a = 2.746 Å, b = 4.500 Å, c = 4.781 Å
α = 99.39°, β = 90.00°, γ = 107.76°
Atoms (fractional coordinates):
1 Li 0.500 0.000 0.000
2 Pt 0.746 0.492 0.751
3 Pt 0.254 0.508 0.249
4 Zn 0.000 0.000 0.500

---

(2)
Compound: Br3Cl4
Source: the Alexandria database
Functional: meta-GGA SCAN
Structure: single point on PBEsol structure

Computed properties:
DOS at the Fermi energy	6.269	states/eV per cell
space-group type	P6/mmm
E_form (uncorrected)	0.543	eV/atom

a = 4.865 Å, b = 6.225 Å, c = 6.225 Å
α = 120.00°, β = 90.00°, γ = 90.00°
Atoms (fractional coordinates):
1 Cl 0.500 0.333 0.667
2 Cl 0.702 0.000 0.000
3 Cl 0.500 0.667 0.333
4 Cl 0.298 0.000 0.000
5 Br 0.000 0.500 0.500
6 Br 0.000 0.500 0.000
7 Br 0.000 0.000 0.500

---

(3)
Compound: Y2InW
Source: the Alexandria database
Functional: meta-GGA SCAN
Structure: single point on PBEsol structure

Computed properties:
DOS at the Fermi energy	3.758	states/eV per cell
energy of formation	440	meV per atom
space-group type	P2/m

a = 3.064 Å, b = 5.538 Å, c = 5.845 Å
α = 114.48°, β = 90.00°, γ = 90.00°
Atoms (fractional coordinates):
1 Y 0.000 0.000 0.000
2 Y 0.500 0.000 0.500
3 W 0.000 0.500 0.500
4 In 0.500 0.500 0.000

---

(4)
Compound: InP2Au
Source: the Alexandria database
Functional: meta-GGA SCAN
Structure: single point on PBEsol structure

Computed properties:
DOS at the Fermi energy	1.763	states/eV per cell
energy of formation	548	meV per atom
space-group type	I4/mmm

a = 3.755 Å, b = 3.755 Å, c = 5.868 Å
α = 108.66°, β = 108.66°, γ = 90.00°
Atoms (fractional coordinates):
1 In 0.000 0.000 0.000
2 P 0.750 0.250 0.500
3 P 0.250 0.750 0.500
4 Au 0.500 0.500 0.000

---

Number 1: uncorrected energy -158.57 eV for the cell shown, magnetization 0.000 μB/atom. Number 2: uncorrected energy -86.49 eV for the cell shown, magnetization 0.000 μB/atom. Number 3: uncorrected energy -157.00 eV for the cell shown, magnetization 0.000 μB/atom. Number 4: uncorrected energy -121.15 eV for the cell shown, magnetization 0.000 μB/atom.